! PBE-GGA Ho2TmTl3AgIr2, relaxed; values from VASP
! electronic total energy = -5.01 eV/atom
! symmetry = Amm2
! M_tot = 0.001 μB per atom
&SYSTEM
  ibrav = 0, nat = 9, ntyp = 5
/
ATOMIC_SPECIES
Tl 204.38 Tl.upf
Ir 192.22 Ir.upf
Tm 168.93 Tm.upf
Ag 107.87 Ag.upf
Ho 164.93 Ho.upf
CELL_PARAMETERS angstrom
3.754 0.000 0.000
0.000 6.780 3.926
0.000 -6.780 3.926
ATOMIC_POSITIONS crystal
Tl 0.500 0.000 0.728
Tl 0.500 0.273 0.273
Tl 0.500 0.728 0.000
Ir 0.500 0.666 0.335
Ir 0.500 0.335 0.666
Tm 0.000 0.589 0.589
Ag 0.000 0.000 0.000
Ho 0.000 0.000 0.410
Ho 0.000 0.410 0.000



! PBE-GGA KHoAg, relaxed; values from VASP
! electronic total energy = -2.13 eV/atom
! symmetry = F-43m
! M_tot = 0.001 μB per atom
&SYSTEM
  ibrav = 0, nat = 3, ntyp = 3
/
ATOMIC_SPECIES
Ag 107.87 Ag.upf
Ho 164.93 Ho.upf
K 39.10 K.upf
CELL_PARAMETERS angstrom
0.000 3.704 3.704
3.704 0.000 3.704
3.704 3.704 0.000
ATOMIC_POSITIONS crystal
Ag 0.250 0.250 0.250
Ho 0.000 0.000 0.000
K 0.750 0.750 0.750



! PBE-GGA LaHoAg2, relaxed; values from VASP
! electronic total energy = -4.09 eV/atom
! symmetry = P4/mmm
! M_tot = 0.032 μB per atom
! E_form = -0.31 eV per atom
&SYSTEM
  ibrav = 0, nat = 4, ntyp = 3
/
ATOMIC_SPECIES
Ag 107.87 Ag.upf
La 138.91 La.upf
Ho 164.93 Ho.upf
CELL_PARAMETERS angstrom
3.651 0.000 0.000
0.000 3.651 0.000
0.000 0.000 7.612
ATOMIC_POSITIONS crystal
Ag 0.500 0.500 0.222
Ag 0.500 0.500 0.778
La 0.000 0.000 0.500
Ho 0.000 0.000 0.000